A geometry-optimized LiVS3O12 structure. Source: the Alexandria database, functional GGA+U.

Structure (POSCAR):
```
LiVS3O12
1.0
7.8010 0.0000 0.0000
-1.6340 8.3128 0.0000
-2.7540 -3.1129 7.7928
Li V S O
2 2 6 24
direct
0.2373 0.1098 0.4449
0.7627 0.8902 0.5551
0.0000 0.5000 0.0000
0.0000 0.5000 0.5000
0.0782 0.8106 0.8527
0.2689 0.3848 0.7741
0.2900 0.7295 0.3862
0.7100 0.2705 0.6138
0.7311 0.6152 0.2259
0.9218 0.1894 0.1473
0.0204 0.3157 0.0816
0.0627 0.1207 0.2325
0.1229 0.6882 0.7098
0.1409 0.3628 0.5882
0.1409 0.4310 0.8752
0.1956 0.5796 0.4289
0.2100 0.8691 0.4261
0.2354 0.6497 0.1924
0.2525 0.9279 0.9857
0.2813 0.2148 0.7611
0.4352 0.5304 0.8404
0.4920 0.7703 0.4713
0.5080 0.2297 0.5287
0.5648 0.4696 0.1596
0.7187 0.7852 0.2389
0.7475 0.0721 0.0143
0.7646 0.3503 0.8076
0.7900 0.1309 0.5739
0.8044 0.4204 0.5711
0.8591 0.5690 0.1248
0.8591 0.6372 0.4118
0.8771 0.3118 0.2902
0.9373 0.8793 0.7675
0.9796 0.6843 0.9184
```

Values from the calculation:
**Raw total energy**: -210.86 eV per cell
**Calculated density**: 2.27 g cm⁻³
**Volume**: 14.863 Å³ per atom
**Space group**: No. 2